(1)
## HoHCl (GGA-PBE)

Data for a relaxed structure of HoHCl.

Structure (POSCAR):
```
HoHCl
1.0
3.268 0.000 0.000
0.000 3.268 0.000
-1.634 -1.634 4.675
Ho Cl H
1 1 1
direct
0.624 0.624 0.248
0.324 0.324 0.648
0.052 0.052 0.104
```

DOS at the Fermi energy = 0.93 states/eV/f.u.
SG = I4mm, No. 107
Electronic total energy = -4.236 eV/atom
Density = 6.697 Mg/m³
V = 16.644 Å³ per atom

***

(2)
## Ho2HCl (GGA-PBE)

Data for a relaxed structure of Ho2HCl.

Structure (POSCAR):
```
Ho2HCl
1.0
-0.168 -3.014 1.867
2.366 -0.630 2.570
-3.474 1.890 6.113
Ho H Cl
2 1 1
direct
0.271 0.271 0.188
0.729 0.729 0.812
0.000 0.000 0.000
0.500 0.500 0.500
```

DOS at the Fermi energy = 1.49 states/eV/f.u.
SG = R-3m, No. 166
Electronic total energy = -4.407 eV/atom
Density = 7.978 Mg/m³
V = 19.061 Å³ per atom

***

> Among the records above, which one has the lowest DOS at the Fermi energy?

HoHCl

***

> Among the records above, which one has the highest electronic total energy?

HoHCl